Entry 1:
# AcNd2Mg2Sn2

Crystalline AcNd2Mg2Sn2 at its relaxed geometry (PBE, the Alexandria database).

Lattice parameters (Å, degrees): 5.0563 5.0563 28.4277 90.00 90.00 120.00
Closest atoms and distances in Å follow each position.
Space group R-3m (No. 166, hexagonal axes)
Symmetry-distinct sites (fractional):
Ac: 0.0000 0.0000 0.0000 (multiplicity 3)  6 Sn 3.59, 6 Mg 3.73, 2 Nd 3.78
Nd: 0.0000 0.0000 0.1329 (multiplicity 6)  3 Mg 3.26, 4 Sn 3.37-3.61, 3 Nd 3.49
Mg: 0.0000 0.0000 0.4152 (multiplicity 6)  3 Sn 2.93, 3 Nd 3.26
Sn: 0.0000 0.0000 0.2599 (multiplicity 6)  3 Mg 2.93

Calculated values
Calculated volume, Å³/cell: 629.41
Calculated formation energy, eV per atom: -0.37
DFT total energy, eV per cell: -82.4

Entry 2:
# SrAcNdMg

Crystalline SrAcNdMg at its relaxed geometry (PBE, the Alexandria database).

Lattice parameters (Å, degrees): 3.9282 3.9282 10.0494 90.00 90.00 90.00
Closest atoms and distances in Å follow each position.
Space group P4mm (No. 99)
Symmetry-distinct sites (fractional):
Sr: 0.0000 0.0000 0.0000 (multiplicity 1)  4 Mg 3.63, 4 Sr 3.93
Ac: 0.5000 0.5000 0.6816 (multiplicity 1)  4 Nd 3.78, 4 Ac 3.93
Nd: 0.0000 0.0000 0.4262 (multiplicity 1)  4 Mg 3.39, 4 Ac 3.78
Mg: 0.5000 0.5000 0.2322 (multiplicity 1)  4 Nd 3.39, 4 Sr 3.63

Calculated values
Distance to the lowest polymorph of the same formula, kJ/mol of formula units: 0
Calculated volume, Å³/cell: 155.07
Calculated formation energy, eV per atom: 0.00
DFT total energy, eV per cell: -12.2

Entry 3:
# SrAcNdMg

Crystalline SrAcNdMg at its relaxed geometry (PBE, the Alexandria database).

Lattice parameters (Å, degrees): 8.4987 8.4987 8.4987 90.00 90.00 90.00
Closest atoms and distances in Å follow each position.
Space group F-43m (No. 216)
Symmetry-distinct sites (fractional):
Sr: 0.0000 0.0000 0.0000 (multiplicity 4)  4 Mg 3.68, 4 Ac 3.68
Ac: 0.2500 0.2500 0.2500 (multiplicity 4)  4 Nd 3.68, 4 Sr 3.68
Nd: 0.0000 0.0000 0.5000 (multiplicity 4)  4 Ac 3.68, 4 Mg 3.68
Mg: 0.2500 0.2500 0.7500 (multiplicity 4)  4 Nd 3.68, 4 Sr 3.68

Calculated values
Distance to the lowest polymorph of the same formula, kJ/mol of formula units: 60
Calculated volume, Å³/cell: 613.85
Calculated formation energy, eV per atom: 0.15
DFT total energy, eV per cell: -46.2

Entry 4:
# AcTbNdMg

Crystalline AcTbNdMg at its relaxed geometry (PBE, the Alexandria database).

Lattice parameters (Å, degrees): 3.8454 3.8454 9.0749 90.00 90.00 90.00
Closest atoms and distances in Å follow each position.
Space group P4mm (No. 99)
Symmetry-distinct sites (fractional):
Ac: 0.0000 0.0000 0.0000 (multiplicity 1)  4 Tb 3.74, 4 Nd 3.81, 4 Ac 3.85
Tb: 0.5000 0.5000 0.2835 (multiplicity 1)  4 Mg 3.29
Nd: 0.5000 0.5000 0.7061 (multiplicity 1)  4 Mg 3.37
Mg: 0.0000 0.0000 0.4873 (multiplicity 1)  4 Tb 3.29, 4 Nd 3.37

Calculated values
Distance to the lowest polymorph of the same formula, kJ/mol of formula units: 0
Calculated volume, Å³/cell: 134.19
Calculated formation energy, eV per atom: -0.02
DFT total energy, eV per cell: -15.2

Entry 5:
# AcTbNdMg

Crystalline AcTbNdMg at its relaxed geometry (PBE, the Alexandria database).

Lattice parameters (Å, degrees): 8.1467 8.1467 8.1467 90.00 90.00 90.00
Closest atoms and distances in Å follow each position.
Space group F-43m (No. 216)
Symmetry-distinct sites (fractional):
Ac: 0.0000 0.0000 0.0000 (multiplicity 4)  4 Tb 3.53, 4 Nd 3.53
Tb: 0.2500 0.2500 0.2500 (multiplicity 4)  4 Ac 3.53, 4 Mg 3.53
Nd: 0.2500 0.2500 0.7500 (multiplicity 4)  4 Ac 3.53, 4 Mg 3.53
Mg: 0.0000 0.0000 0.5000 (multiplicity 4)  4 Tb 3.53, 4 Nd 3.53

Calculated values
Distance to the lowest polymorph of the same formula, kJ/mol of formula units: 53
Calculated volume, Å³/cell: 540.68
Calculated formation energy, eV per atom: 0.11
DFT total energy, eV per cell: -58.6

Entry 6:
# Ac2NdMgTe5

Crystalline Ac2NdMgTe5 at its relaxed geometry (PBE, the Alexandria database).

Lattice parameters (Å, degrees): 4.5542 19.6165 13.8111 90.00 90.00 90.00
Closest atoms and distances in Å follow each position.
Space group Cmc2_1 (No. 36)
Symmetry-distinct sites (fractional):
Ac: 0.0000 0.1143 0.0000 (multiplicity 4)  8 Te 3.41-3.54
Ac: 0.0000 0.1320 0.6239 (multiplicity 4)  7 Te 3.36-3.61
Nd: 0.0000 0.2013 0.3267 (multiplicity 4)  6 Te 3.15-3.21
Mg: 0.0000 0.4464 0.7666 (multiplicity 4)  4 Te 2.73-2.96
Te: 0.0000 0.0449 0.3790 (multiplicity 4)  2 Mg 2.76
Te: 0.0000 0.2877 0.9866 (multiplicity 4)  2 Nd 3.18, 3 Ac 3.36-3.41
Te: 0.0000 0.3137 0.6641 (multiplicity 4)  1 Mg 2.96, 2 Nd 3.21
Te: 0.0000 0.3625 0.3153 (multiplicity 4)  1 Nd 3.17, 4 Ac 3.45-3.49
Te: 0.0000 0.4954 0.0873 (multiplicity 4)  1 Mg 2.73

Calculated values
Calculated volume, Å³/cell: 1233.84
DFT total energy, eV per cell: -170.7
Energy relative to the elements, uncorrected, eV/f.u.: -12.38

Entry 7:
# AcNdMgTl

Crystalline AcNdMgTl at its relaxed geometry (PBE, the Alexandria database).

Lattice parameters (Å, degrees): 8.0302 8.0302 8.0302 90.00 90.00 90.00
Closest atoms and distances in Å follow each position.
Space group F-43m (No. 216)
Symmetry-distinct sites (fractional):
Ac: 0.0000 0.0000 0.0000 (multiplicity 4)  4 Mg 3.48, 4 Tl 3.48
Nd: 0.0000 0.0000 0.5000 (multiplicity 4)  4 Tl 3.48, 4 Mg 3.48
Mg: 0.2500 0.2500 0.2500 (multiplicity 4)  4 Nd 3.48, 4 Ac 3.48
Tl: 0.2500 0.2500 0.7500 (multiplicity 4)  4 Ac 3.48, 4 Nd 3.48

Calculated values
Calculated volume, Å³/cell: 517.83
Calculated formation energy, eV per atom: -0.22
DFT total energy, eV per cell: -54.9

Entry 8:
# AcNdMg2Tl4

Crystalline AcNdMg2Tl4 at its relaxed geometry (PBE, the Alexandria database).

Lattice parameters (Å, degrees): 4.9364 4.9364 33.1615 90.00 90.00 120.00
Closest atoms and distances in Å follow each position.
Space group R-3m (No. 166, hexagonal axes)
Symmetry-distinct sites (fractional):
Ac: 0.0000 0.0000 0.0000 (multiplicity 3)  6 Tl 3.43
Nd: 0.0000 0.0000 0.5000 (multiplicity 3)  8 Tl 3.26-3.62
Mg: 0.0000 0.0000 0.2452 (multiplicity 6)  6 Tl 3.02-3.03
Tl: 0.0000 0.0000 0.1186 (multiplicity 6)  3 Mg 3.02, 3 Nd 3.26
Tl: 0.0000 0.0000 0.3907 (multiplicity 6)  3 Mg 3.03

Calculated values
Calculated volume, Å³/cell: 699.82
Calculated formation energy, eV per atom: -0.27
DFT total energy, eV per cell: -71.0

Entry 9:
# AcNdTmMg

Crystalline AcNdTmMg at its relaxed geometry (PBE, the Alexandria database).

Lattice parameters (Å, degrees): 8.1123 8.1123 8.1123 90.00 90.00 90.00
Closest atoms and distances in Å follow each position.
Space group F-43m (No. 216)
Symmetry-distinct sites (fractional):
Ac: 0.0000 0.0000 0.0000 (multiplicity 4)  4 Mg 3.51, 4 Tm 3.51
Nd: 0.0000 0.0000 0.5000 (multiplicity 4)  4 Tm 3.51, 4 Mg 3.51
Tm: 0.2500 0.2500 0.2500 (multiplicity 4)  4 Ac 3.51, 4 Nd 3.51
Mg: 0.2500 0.2500 0.7500 (multiplicity 4)  4 Ac 3.51, 4 Nd 3.51

Calculated values
Calculated volume, Å³/cell: 533.87
Calculated formation energy, eV per atom: 0.03
DFT total energy, eV per cell: -59.3

Entry 10:
# AcNdYMg

Crystalline AcNdYMg at its relaxed geometry (PBE, the Alexandria database).

Lattice parameters (Å, degrees): 8.1510 8.1510 8.1510 90.00 90.00 90.00
Closest atoms and distances in Å follow each position.
Space group F-43m (No. 216)
Symmetry-distinct sites (fractional):
Ac: 0.0000 0.0000 0.0000 (multiplicity 4)  4 Nd 3.53, 4 Y 3.53
Nd: 0.2500 0.2500 0.2500 (multiplicity 4)  4 Mg 3.53, 4 Ac 3.53
Y: 0.2500 0.2500 0.7500 (multiplicity 4)  4 Ac 3.53, 4 Mg 3.53
Mg: 0.0000 0.0000 0.5000 (multiplicity 4)  4 Nd 3.53, 4 Y 3.53

Calculated values
Distance to the lowest polymorph of the same formula, kJ/mol of formula units: 54
Calculated volume, Å³/cell: 541.55
Calculated formation energy, eV per atom: 0.11
DFT total energy, eV per cell: -65.9

Entry 11:
# AcNdYMg

Crystalline AcNdYMg at its relaxed geometry (PBE, the Alexandria database).

Lattice parameters (Å, degrees): 3.8473 3.8473 9.0869 90.00 90.00 90.00
Closest atoms and distances in Å follow each position.
Space group P4mm (No. 99)
Symmetry-distinct sites (fractional):
Ac: 0.0000 0.0000 0.0000 (multiplicity 1)  4 Y 3.76, 4 Nd 3.81, 4 Ac 3.85
Nd: 0.5000 0.5000 0.7070 (multiplicity 1)  4 Mg 3.37
Y: 0.5000 0.5000 0.2855 (multiplicity 1)  4 Mg 3.28
Mg: 0.0000 0.0000 0.4877 (multiplicity 1)  4 Y 3.28, 4 Nd 3.37

Calculated values
Distance to the lowest polymorph of the same formula, kJ/mol of formula units: 0
Calculated volume, Å³/cell: 134.50
Calculated formation energy, eV per atom: -0.03
DFT total energy, eV per cell: -17.0

Entry 12:
# AcNdMgZn

Crystalline AcNdMgZn at its relaxed geometry (PBE, the Alexandria database).

Lattice parameters (Å, degrees): 7.7936 7.7936 7.7936 90.00 90.00 90.00
Closest atoms and distances in Å follow each position.
Space group F-43m (No. 216)
Symmetry-distinct sites (fractional):
Ac: 0.0000 0.0000 0.0000 (multiplicity 4)  4 Mg 3.37, 4 Zn 3.37
Nd: 0.0000 0.0000 0.5000 (multiplicity 4)  4 Mg 3.37, 4 Zn 3.37
Mg: 0.2500 0.2500 0.2500 (multiplicity 4)  4 Ac 3.37, 4 Nd 3.37
Zn: 0.2500 0.2500 0.7500 (multiplicity 4)  4 Ac 3.37, 4 Nd 3.37

Calculated values
Distance to the lowest polymorph of the same formula, kJ/mol of formula units: 15
Calculated volume, Å³/cell: 473.39
Calculated formation energy, eV per atom: -0.14
DFT total energy, eV per cell: -49.2